Record 1
Density functional theory data (SCAN) for CsMgNb2O at its PBEsol-relaxed geometry.

a = 4.2543 Å, b = 4.2543 Å, c = 5.5136 Å
α = 90.00°, β = 90.00°, γ = 90.00°
With the nearest neighbours (Å) after each atom.
Element x y z (fractional)
Nb: 0.5000 0.0000 0.0000  2 O 2.13
Nb: 0.0000 0.5000 0.0000  2 O 2.13
Cs: 0.0000 0.0000 0.5000  2 O 2.76, 4 Mg 3.01
Mg: 0.5000 0.5000 0.5000  4 Cs 3.01
O: 0.0000 0.0000 0.0000  4 Nb 2.13

Calculated values
The space group is P4/mmm. Its calculated volume is 99.8 Å³/cell. For the raw formation energy, the calculation gives 173.4 meV per atom. The calculation puts the total magnetic moment at 0.0 Bohr magnetons per cell.

Record 2
Density functional theory data (SCAN) for MgAlAu2 at its PBEsol-relaxed geometry.

a = 3.4076 Å, b = 3.6583 Å, c = 5.4647 Å
α = 90.00°, β = 90.00°, γ = 90.00°
With the nearest neighbours (Å) after each atom.
Element x y z (fractional)
Au: 0.0000 0.0000 0.9614  2 Mg 2.67-2.79, 4 Al 2.68
Au: 0.5000 0.5000 0.2802  2 Al 2.70-2.77, 4 Mg 2.71
Mg: 0.0000 0.0000 0.4722  6 Au 2.67-2.79
Al: 0.5000 0.5000 0.7861  6 Au 2.68-2.77

Calculated values
The space group is Pmm2. As for the formation enthalpy at 0 K: -0.623 eV/atom. Its calculated volume is 68.1 Å³/cell. The calculation puts the total magnetic moment at 0.0 Bohr magnetons per cell.

Record 3
Density functional theory data (SCAN) for SrLaHg3 at its PBEsol-relaxed geometry.

a = 5.5547 Å, b = 5.5547 Å, c = 5.5547 Å
α = 90.00°, β = 90.00°, γ = 90.00°
With the nearest neighbours (Å) after each atom.
Element x y z (fractional)
Sr: 0.0000 0.0000 0.0000  6 Hg 2.78
La: 0.5000 0.5000 0.5000  12 Hg 3.93
Hg: 0.0000 0.5000 0.0000  2 Sr 2.78
Hg: 0.5000 0.0000 0.0000  2 Sr 2.78
Hg: 0.0000 0.0000 0.5000  2 Sr 2.78

Calculated values
The space group is Pm-3m. As for the formation enthalpy at 0 K: 0.104 eV/atom. Its calculated volume is 171.4 Å³/cell. The calculation puts the total magnetic moment at 0.0 Bohr magnetons per cell.

Record 4
Density functional theory data (SCAN) for Cs2CuP at its PBEsol-relaxed geometry.

a = 5.7931 Å, b = 5.7931 Å, c = 5.7931 Å
α = 60.00°, β = 60.00°, γ = 60.00°
With the nearest neighbours (Å) after each atom.
Element x y z (fractional)
P: 0.0000 0.0000 0.0000  8 Cs 3.55
Cs: 0.2500 0.2500 0.2500  4 Cu 3.55, 4 P 3.55
Cs: 0.7500 0.7500 0.7500  4 Cu 3.55, 4 P 3.55
Cu: 0.5000 0.5000 0.5000  8 Cs 3.55

Calculated values
The space group is Fm-3m. As for the formation enthalpy at 0 K: 0.519 eV/atom. Its calculated volume is 137.5 Å³/cell. The calculation puts the total magnetic moment at 2.0 Bohr magnetons per cell.

Q: Which value of calculated volume does entry 3 give?
A: 171.4 Å³/cell